# 1
The following is a DFT calculation (GGA-PBE) of a relaxed structure of Cs3CuGe4.

Properties
E = -0.123 hartree per atom
spin magnetization = 0.00 μB per formula unit
energy of formation = -0.2098 eV per atom

Geometry as CIF:
```
data_Cs3CuGe4
_space_group_name_H-M_alt 'P m m n'
_space_group_IT_number 59
_cell_length_a 7.317
_cell_length_b 13.415
_cell_length_c 5.986
_cell_angle_alpha 90.00
_cell_angle_beta 90.00
_cell_angle_gamma 90.00
loop_
_space_group_symop_operation_xyz
'x,y,z'
'-x,-y,-z'
'-x+1/2,-y+1/2,z'
'x+1/2,y+1/2,-z'
'x+1/2,-y,-z'
'-x+1/2,y,z'
'-x,y+1/2,-z'
'x,-y+1/2,z'
loop_
_atom_site_label
_atom_site_fract_x
_atom_site_fract_y
_atom_site_fract_z
_atom_site_occupancy
Cs1 0.250 0.013 0.157 1
Cs2 0.250 0.250 0.560 1
Cu1 0.250 0.750 0.304 1
Ge1 0.065 0.750 0.949 1
Ge2 0.250 0.649 0.658 1
```

---

# 2
The following is a DFT calculation (GGA-PBE) of a relaxed structure of CsCu3Ge.

Properties
E = -0.061 hartree per atom
spin magnetization = 0.00 μB per formula unit
energy of formation = 1.9044 eV per atom

Geometry as CIF:
```
data_CsCu3Ge
_space_group_name_H-M_alt 'P m -3 m'
_space_group_IT_number 221
_space_group_name_Hall '-P 4 2 3'
_cell_length_a 5.340
_cell_length_b 5.340
_cell_length_c 5.340
_cell_angle_alpha 90.00
_cell_angle_beta 90.00
_cell_angle_gamma 90.00
loop_
_atom_site_label
_atom_site_fract_x
_atom_site_fract_y
_atom_site_fract_z
_atom_site_occupancy
Cs1 0.000 0.000 0.000 1
Cu1 0.000 0.000 0.500 1
Ge1 0.500 0.500 0.500 1
```

---

# 3
The following is a DFT calculation (GGA-PBE) of a relaxed structure of CsCuGe3.

Properties
E = -0.060 hartree per atom
spin magnetization = 0.00 μB per formula unit
energy of formation = 2.1358 eV per atom

Geometry as CIF:
```
data_CsCuGe3
_space_group_name_H-M_alt 'P m -3 m'
_space_group_IT_number 221
_space_group_name_Hall '-P 4 2 3'
_cell_length_a 5.731
_cell_length_b 5.731
_cell_length_c 5.731
_cell_angle_alpha 90.00
_cell_angle_beta 90.00
_cell_angle_gamma 90.00
loop_
_atom_site_label
_atom_site_fract_x
_atom_site_fract_y
_atom_site_fract_z
_atom_site_occupancy
Cs1 0.000 0.000 0.000 1
Cu1 0.500 0.500 0.500 1
Ge1 0.000 0.000 0.500 1
```

---

# 4
The following is a DFT calculation (GGA-PBE) of a relaxed structure of CsCuGe3.

Properties
E = -0.119 hartree per atom
spin magnetization = 0.00 μB per formula unit
energy of formation = 0.5294 eV per atom

Geometry as CIF:
```
data_CsCuGe3
_space_group_name_H-M_alt 'P m -3 m'
_space_group_IT_number 221
_space_group_name_Hall '-P 4 2 3'
_cell_length_a 5.030
_cell_length_b 5.030
_cell_length_c 5.030
_cell_angle_alpha 90.00
_cell_angle_beta 90.00
_cell_angle_gamma 90.00
loop_
_atom_site_label
_atom_site_fract_x
_atom_site_fract_y
_atom_site_fract_z
_atom_site_occupancy
Cs1 0.000 0.000 0.000 1
Cu1 0.500 0.500 0.500 1
Ge1 0.000 0.500 0.500 1
```

---

# 5
The following is a DFT calculation (GGA-PBE) of a relaxed structure of Cs4CuGe3I12.

Properties
E = -0.101 hartree per atom
spin magnetization = 0.00 μB per formula unit
formation energy (no corrections) = -0.761 eV per atom

Geometry as CIF:
```
data_Cs4CuGe3I12
_space_group_name_H-M_alt 'I m -3 m'
_space_group_IT_number 229
_space_group_name_Hall '-I 4 2 3'
_cell_length_a 11.808
_cell_length_b 11.808
_cell_length_c 11.808
_cell_angle_alpha 90.00
_cell_angle_beta 90.00
_cell_angle_gamma 90.00
loop_
_atom_site_label
_atom_site_fract_x
_atom_site_fract_y
_atom_site_fract_z
_atom_site_occupancy
Cs1 0.250 0.250 0.250 1
Cu1 0.000 0.000 0.000 1
Ge1 0.000 0.000 0.500 1
I1 0.000 0.000 0.245 1
I2 0.000 0.250 0.500 1
```

---

# 6
The following is a DFT calculation (GGA-PBE) of a relaxed structure of Cs2CuGeI6.

Properties
E = -0.099 hartree per atom
spin magnetization = 0.00 μB per formula unit
formation energy (no corrections) = -0.721 eV per atom

Geometry as CIF:
```
data_Cs2CuGeI6
_space_group_name_H-M_alt 'I 4/m m m'
_space_group_IT_number 139
_space_group_name_Hall '-I 4 2'
_cell_length_a 8.191
_cell_length_b 8.191
_cell_length_c 11.649
_cell_angle_alpha 90.00
_cell_angle_beta 90.00
_cell_angle_gamma 90.00
loop_
_atom_site_label
_atom_site_fract_x
_atom_site_fract_y
_atom_site_fract_z
_atom_site_occupancy
Cs1 0.000 0.500 0.250 1
Cu1 0.000 0.000 0.000 1
Ge1 0.000 0.000 0.500 1
I1 0.000 0.000 0.247 1
I2 0.245 0.245 0.000 1
```

---

# 7
The following is a DFT calculation (GGA-PBE) of a relaxed structure of Cs2CuGeI5.

Properties
E = -0.104 hartree per atom
spin magnetization = 0.00 μB per formula unit
formation energy (no corrections) = -0.812 eV per atom

Geometry as CIF:
```
data_Cs2CuGeI5
_space_group_name_H-M_alt 'C m c 21'
_space_group_IT_number 36
_cell_length_a 4.554
_cell_length_b 23.227
_cell_length_c 15.321
_cell_angle_alpha 90.00
_cell_angle_beta 90.00
_cell_angle_gamma 90.00
loop_
_space_group_symop_operation_xyz
'x,y,z'
'-x,-y,z+1/2'
'-x,y,z'
'x,-y,z+1/2'
'x+1/2,y+1/2,z'
'-x+1/2,-y+1/2,z+1/2'
'-x+1/2,y+1/2,z'
'x+1/2,-y+1/2,z+1/2'
loop_
_atom_site_label
_atom_site_fract_x
_atom_site_fract_y
_atom_site_fract_z
_atom_site_occupancy
Cs1 0.000 0.122 0.000 1
Cs2 0.000 0.125 0.602 1
Cu1 0.000 0.441 0.744 1
Ge1 0.000 0.214 0.307 1
I1 0.000 0.076 0.322 1
I2 0.000 0.286 0.941 1
I3 0.000 0.294 0.672 1
I4 0.000 0.340 0.301 1
I5 0.000 0.492 0.597 1
```

---

# 8
The following is a DFT calculation (GGA-PBE) of a relaxed structure of Cs2Cu2GeI6.

Properties
E = -0.105 hartree per atom
spin magnetization = 0.00 μB per formula unit
formation energy (no corrections) = -0.680 eV per atom

Geometry as CIF:
```
data_Cs2Cu2GeI6
_space_group_name_H-M_alt 'C 1 2/m 1'
_space_group_IT_number 12
_cell_length_a 14.412
_cell_length_b 8.421
_cell_length_c 9.048
_cell_angle_alpha 90.00
_cell_angle_beta 119.96
_cell_angle_gamma 90.00
loop_
_space_group_symop_operation_xyz
'x,y,z'
'-x,-y,-z'
'-x,y,-z'
'x,-y,z'
'x+1/2,y+1/2,z'
'-x+1/2,-y+1/2,-z'
'-x+1/2,y+1/2,-z'
'x+1/2,-y+1/2,z'
loop_
_atom_site_label
_atom_site_fract_x
_atom_site_fract_y
_atom_site_fract_z
_atom_site_occupancy
Cs1 0.221 0.000 0.214 1
Cu1 0.063 0.500 0.271 1
Ge1 0.000 0.000 0.500 1
I1 0.035 0.241 0.775 1
I2 0.243 0.000 0.667 1
```

---

# 9
The following is a DFT calculation (GGA-PBE) of a relaxed structure of Cs3Cu2GeI9.

Properties
E = -0.097 hartree per atom
spin magnetization = 0.00 μB per formula unit
formation energy (no corrections) = -0.685 eV per atom

Geometry as CIF:
```
data_Cs3Cu2GeI9
_space_group_name_H-M_alt 'P -3 m 1'
_space_group_IT_number 164
_space_group_name_Hall '-P 3 2"'
_cell_length_a 8.1380
_cell_length_b 8.1380
_cell_length_c 10.0187
_cell_angle_alpha 90.00
_cell_angle_beta 90.00
_cell_angle_gamma 120.00
loop_
_atom_site_label
_atom_site_fract_x
_atom_site_fract_y
_atom_site_fract_z
_atom_site_occupancy
Cs1 0.0000 0.0000 0.0000 1
Cs2 0.3333 0.6667 0.6668 1
Cu1 0.3333 0.6667 0.1557 1
Ge1 0.0000 0.0000 0.5000 1
I1 0.0000 0.5000 0.0000 1
I2 0.1700 0.3400 0.3291 1
```

---

# 10
The following is a DFT calculation (GGA-PBE) of a relaxed structure of Cs2CuGeI.

Properties
E = -0.083 hartree per atom
spin magnetization = 2.78 μB per formula unit
formation energy (no corrections) = 0.137 eV per atom

Geometry as CIF:
```
data_Cs2CuGeI
_space_group_name_H-M_alt 'P 4/m m m'
_space_group_IT_number 123
_space_group_name_Hall '-P 4 2'
_cell_length_a 6.937
_cell_length_b 6.937
_cell_length_c 5.187
_cell_angle_alpha 90.00
_cell_angle_beta 90.00
_cell_angle_gamma 90.00
loop_
_atom_site_label
_atom_site_fract_x
_atom_site_fract_y
_atom_site_fract_z
_atom_site_occupancy
Cs1 0.000 0.500 0.000 1
Cu1 0.000 0.000 0.000 1
Ge1 0.500 0.500 0.500 1
I1 0.000 0.000 0.500 1
```

---

# 11
The following is a DFT calculation (GGA-PBE) of a relaxed structure of CsCu2GeI6.

Properties
E = -0.100 hartree per atom
spin magnetization = 0.00 μB per formula unit
formation energy (no corrections) = -0.431 eV per atom

Geometry as CIF:
```
data_CsCu2GeI6
_space_group_name_H-M_alt 'C 1 2/c 1'
_space_group_IT_number 15
_cell_length_a 16.378
_cell_length_b 14.719
_cell_length_c 7.974
_cell_angle_alpha 90.00
_cell_angle_beta 112.54
_cell_angle_gamma 90.00
loop_
_space_group_symop_operation_xyz
'x,y,z'
'-x,-y,-z'
'-x,y,-z+1/2'
'x,-y,z+1/2'
'x+1/2,y+1/2,z'
'-x+1/2,-y+1/2,-z'
'-x+1/2,y+1/2,-z+1/2'
'x+1/2,-y+1/2,z+1/2'
loop_
_atom_site_label
_atom_site_fract_x
_atom_site_fract_y
_atom_site_fract_z
_atom_site_occupancy
Cs1 0.000 0.120 0.250 1
Cu1 0.218 0.445 0.252 1
Ge1 0.000 0.261 0.750 1
I1 0.067 0.359 0.070 1
I2 0.131 0.136 0.763 1
I3 0.232 0.413 0.578 1
```

---

# 12
The following is a DFT calculation (GGA-PBE) of a relaxed structure of Cs3CuGe2I9.

Properties
E = -0.101 hartree per atom
spin magnetization = 0.00 μB per formula unit
formation energy (no corrections) = -0.750 eV per atom

Geometry as CIF:
```
data_Cs3CuGe2I9
_space_group_name_H-M_alt 'P -3 m 1'
_space_group_IT_number 164
_space_group_name_Hall '-P 3 2"'
_cell_length_a 8.2971
_cell_length_b 8.2971
_cell_length_c 10.1612
_cell_angle_alpha 90.00
_cell_angle_beta 90.00
_cell_angle_gamma 120.00
loop_
_atom_site_label
_atom_site_fract_x
_atom_site_fract_y
_atom_site_fract_z
_atom_site_occupancy
Cs1 0.0000 0.0000 0.0000 1
Cs2 0.3333 0.6667 0.6667 1
Cu1 0.0000 0.0000 0.5000 1
Ge1 0.3333 0.6667 0.1797 1
I1 0.0000 0.5000 0.0000 1
I2 0.1628 0.3256 0.3383 1
```

---

Question: What is the formula in the third record?
Answer: CsCuGe3

---

Question: Which formula does entry 2 have?
Answer: CsCu3Ge